1.
Density functional theory data (PBE-GGA) for an optimized crystal structure of Sc2InPd9.

## Properties
As for the formation energy: -713 meV per atom.

Unit cell a=4.0175 b=4.0175 c=12.0724 alpha=90.00 beta=90.00 gamma=90.00
Space group P4/mmm (No. 123)
Symmetry-distinct sites (fractional):
Sc 0.0000 0.0000 0.1677 [2 per cell]
In 0.0000 0.0000 0.5000 [1 per cell]
Pd 0.0000 0.5000 0.0000 [2 per cell]
Pd 0.0000 0.5000 0.3306 [4 per cell]
Pd 0.5000 0.5000 0.1648 [2 per cell]
Pd 0.5000 0.5000 0.5000 [1 per cell]

2.
Density functional theory data (PBE-GGA) for an optimized crystal structure of ScIn2Pd3.

## Properties
The value obtained for the polymorph energy (0 for the lowest one) is 50 meV per atom. As for the formation energy: -666 meV per atom.

Unit cell a=3.3556 b=3.3556 c=9.6095 alpha=90.00 beta=90.00 gamma=90.00
Space group P4/mmm (No. 123)
Symmetry-distinct sites (fractional):
Sc 0.0000 0.0000 0.0000 [1 per cell]
In 0.0000 0.0000 0.3321 [2 per cell]
Pd 0.5000 0.5000 0.1614 [2 per cell]
Pd 0.5000 0.5000 0.5000 [1 per cell]

3.
Density functional theory data (PBE-GGA) for an optimized crystal structure of Sc3InPd2.

## Properties
As for the formation energy: -748 meV per atom.

Unit cell a=3.2981 b=3.2981 c=10.8217 alpha=90.00 beta=90.00 gamma=90.00
Space group P4/mmm (No. 123)
Symmetry-distinct sites (fractional):
Sc 0.0000 0.0000 0.0000 [1 per cell]
Sc 0.0000 0.0000 0.3088 [2 per cell]
In 0.5000 0.5000 0.5000 [1 per cell]
Pd 0.5000 0.5000 0.1570 [2 per cell]

4.
Density functional theory data (PBE-GGA) for an optimized crystal structure of ScInPd2.

## Properties
As for the formation energy: -734 meV per atom.

Unit cell a=4.5782 b=4.5782 c=3.4296 alpha=90.00 beta=90.00 gamma=90.00
Space group P4/mmm (No. 123)
Symmetry-distinct sites (fractional):
Sc 0.0000 0.0000 0.0000 [1 per cell]
In 0.5000 0.5000 0.0000 [1 per cell]
Pd 0.0000 0.5000 0.5000 [2 per cell]

5.
Density functional theory data (PBE-GGA) for an optimized crystal structure of ScIn2Pd3.

## Properties
The value obtained for the polymorph energy (0 for the lowest one) is 0 meV per atom. As for the formation energy: -716 meV per atom.

Unit cell a=4.6652 b=4.6652 c=11.3822 alpha=90.00 beta=90.00 gamma=120.00
Space group P-3m1 (No. 164)
Symmetry-distinct sites (fractional):
Sc 0.3333 0.6667 0.1663 [2 per cell]
In 0.0000 0.0000 0.0000 [1 per cell]
In 0.0000 0.0000 0.5000 [1 per cell]
In 0.3333 0.6667 0.6707 [2 per cell]
Pd 0.0000 0.0000 0.2511 [2 per cell]
Pd 0.3333 0.6667 0.4175 [2 per cell]
Pd 0.3333 0.6667 0.9159 [2 per cell]

6.
Density functional theory data (PBE-GGA) for an optimized crystal structure of Sc2In2Pd.

## Properties
The value obtained for the polymorph energy (0 for the lowest one) is 0 meV per atom. As for the formation energy: -448 meV per atom.

Unit cell a=7.1313 b=7.1313 c=4.2978 alpha=90.00 beta=90.00 gamma=90.00
Space group P4/mbm (No. 127)
Symmetry-distinct sites (fractional):
Sc 0.1640 0.3360 0.0000 [4 per cell]
In 0.1423 0.6423 0.5000 [4 per cell]
Pd 0.0000 0.0000 0.5000 [2 per cell]